[1]
DFT (PBE) results for a geometry-optimized SmPa2MoC4 structure.

a = 6.263 Å, b = 6.263 Å, c = 11.901 Å
α = 90.00°, β = 90.00°, γ = 145.95°
Element x y z (fractional)
Sm 0.125 0.875 0.750
Sm 0.875 0.125 0.250
Pa 0.369 0.631 0.542
Pa 0.369 0.631 0.958
Pa 0.631 0.369 0.042
Pa 0.631 0.369 0.458
Mo 0.139 0.861 0.250
Mo 0.861 0.139 0.750
C 0.000 0.000 0.000
C 0.000 0.000 0.500
C 0.257 0.743 0.124
C 0.257 0.743 0.376
C 0.436 0.564 0.750
C 0.564 0.436 0.250
C 0.743 0.257 0.624
C 0.743 0.257 0.876

## Properties
- Volume: 130.7 Å³/f.u.
- Total magnetic moment: 0.0 μB/f.u.
- Raw total energy: -9.051 eV/atom
- Symmetry: Cmcm
- Formation energy from the elements: -121 meV per atom



[2]
DFT (PBE) results for a geometry-optimized Ca2PaCuN4 structure.

a = 6.443 Å, b = 6.443 Å, c = 10.505 Å
α = 90.00°, β = 90.00°, γ = 147.88°
Element x y z (fractional)
Ca 0.124 0.876 0.530
Ca 0.124 0.876 0.970
Ca 0.876 0.124 0.030
Ca 0.876 0.124 0.470
Pa 0.457 0.543 0.750
Pa 0.543 0.457 0.250
Cu 0.315 0.685 0.250
Cu 0.685 0.315 0.750
N 0.082 0.918 0.750
N 0.160 0.840 0.181
N 0.160 0.840 0.319
N 0.500 0.500 0.000
N 0.500 0.500 0.500
N 0.840 0.160 0.681
N 0.840 0.160 0.819
N 0.918 0.082 0.250

## Properties
- Volume: 115.9 Å³/f.u.
- Total magnetic moment: 0.0 μB/f.u.
- Raw total energy: -7.115 eV/atom
- Symmetry: Cmcm



[3]
DFT (PBE) results for a geometry-optimized Y12Tm6Th structure.

a = 8.519 Å, b = 8.519 Å, c = 8.519 Å
α = 88.15°, β = 88.15°, γ = 88.15°
Element x y z (fractional)
Y 0.009 0.203 0.354
Y 0.203 0.354 0.009
Y 0.222 0.458 0.562
Y 0.354 0.009 0.203
Y 0.438 0.778 0.542
Y 0.458 0.562 0.222
Y 0.542 0.438 0.778
Y 0.562 0.222 0.458
Y 0.646 0.991 0.797
Y 0.778 0.542 0.438
Y 0.797 0.646 0.991
Y 0.991 0.797 0.646
Tm 0.093 0.693 0.254
Tm 0.254 0.093 0.693
Tm 0.307 0.746 0.907
Tm 0.693 0.254 0.093
Tm 0.746 0.907 0.307
Tm 0.907 0.307 0.746
Th 0.000 0.000 0.000

## Properties
- Volume: 617.3 Å³/f.u.
- Total magnetic moment: 0.0 μB/f.u.
- Raw total energy: -5.743 eV/atom
- Symmetry: R-3
- Formation energy from the elements: 142 meV per atom



[4]
DFT (PBE) results for a geometry-optimized MgPaCo2 structure.

a = 3.294 Å, b = 3.294 Å, c = 6.263 Å
α = 90.00°, β = 90.00°, γ = 90.00°
Element x y z (fractional)
Mg 0.000 0.000 0.000
Pa 0.000 0.000 0.500
Co 0.500 0.500 0.281
Co 0.500 0.500 0.719

## Properties
- Volume: 68.0 Å³/f.u.
- Total magnetic moment: 0.0 μB/f.u.
- Raw total energy: -6.421 eV/atom
- Symmetry: P4/mmm
- Formation energy from the elements: -96 meV per atom